Computed, not measured: crystalline Ac2CoRhO6 at its relaxed geometry at the PBE+U level of DFT.

The structure belongs to space group P2_1/c (No. 14); the cell edges are 5.7311, 5.7311 and 9.8772 Å and the angles 90.00°, 125.22° and 90.00°. Symmetry generates all atoms from Ac at (0.2438, 0.0355, 0.2496), Co at (0.5000, 0.0000, 0.0000), Rh at (0.0000, 0.0000, 0.5000), O at (0.1756, 0.2197, 0.9627), O at (0.2431, 0.7144, 0.9629) and O at (0.3188, 0.0088, 0.7484).

As for the raw total energy: -7.21 eV per atom.